[1]
Below is crystalline TbFe3As3 at its relaxed geometry, with properties calculated at the PBE-GGA level.

As for the calculated formation energy: -17.3 meV per atom.

It has space group Pm-3n (No. 223), with a = 6.411 Å, b = 6.411 Å, c = 6.411 Å, α = 90.00°, β = 90.00° and γ = 90.00°. Symmetry generates all atoms from Tb at (0.000, 0.000, 0.000), Fe at (0.000, 0.250, 0.500) and As at (0.000, 0.500, 0.250).

[2]
Below is crystalline Sb2SeBr at its relaxed geometry, with properties calculated at the PBE-GGA level.

The calculation puts the uncorrected formation energy at -0.5 eV/f.u.

It has space group Pm (No. 6), with a = 5.682 Å, b = 4.069 Å, c = 5.781 Å, α = 90.00°, β = 107.02° and γ = 90.00°. Symmetry generates all atoms from Sb at (0.000, 0.000, 0.000), Sb at (0.397, 0.500, 0.205), Se at (0.589, 0.500, 0.857) and Br at (0.959, 0.000, 0.456).

Total DFT energy (no corrections) values (in eV per cell) by entry order: -88.18 -13.94.